Er5Cd2Co2 | GGA-PBE | optimized geometry

It has space group Cmce (No. 64), with a = 16.442 Å, b = 7.160 Å, c = 7.246 Å, α = 90.00°, β = 90.00° and γ = 90.00°. The asymmetric unit holds Er at (0.000, 0.000, 0.000), Er at (0.118, 0.186, 0.315), Cd at (0.226, 0.000, 0.000) and Co at (0.000, 0.109, 0.612).

As for the spin magnetization: 0.00 μB/f.u. The total energy comes out at -4.56 eV per atom. The value obtained for the energy of formation from the pure elements is -2.21 eV per formula unit.